The following is a DFT calculation (PBE-GGA) of an optimized crystal structure of InCuAu2O6.

Cell and atoms, written as POSCAR:
```
InCuAu2O6
1.0
-3.7403 6.3938 -1.6162
-6.1332 -1.5077 2.0475
-2.1616 1.8169 6.0090
In O Cu Au
2 12 2 4
direct
0.2500 0.8772 0.1228
0.7500 0.1228 0.8772
0.1366 0.0871 0.3045
0.6421 0.7593 0.1007
0.1421 0.1007 0.7593
0.3634 0.6955 0.9129
0.8634 0.9129 0.6955
0.8579 0.8993 0.2407
0.1526 0.5169 0.3277
0.3579 0.2407 0.8993
0.3474 0.6723 0.4831
0.6366 0.3045 0.0871
0.6526 0.3277 0.5169
0.8474 0.4831 0.6723
0.7500 0.6173 0.3827
0.2500 0.3827 0.6173
0.2571 0.3841 0.1111
0.2429 0.8889 0.6159
0.7429 0.6159 0.8889
0.7571 0.1111 0.3841
```

Summary:
The total energy is -4.839 eV per atom. As for the crystal system: monoclinic. The uncorrected formation energy comes out at -50.6 kJ/mol of atoms.

=====

The following is a DFT calculation (PBE-GGA) of an optimized crystal structure of KSn4Br8.

Cell and atoms, written as POSCAR:
```
KSn4Br8
1.0
7.9805 -0.0006 -4.3056
-5.1515 7.4626 -0.0004
-0.1933 -0.1327 9.1908
Sn Br K
4 8 1
direct
0.5000 0.5000 0.0000
0.0000 0.0000 0.0000
0.5000 0.0000 0.0000
0.0000 0.5000 0.0000
0.0255 0.7627 0.7882
0.0255 0.2628 0.7882
0.5254 0.7627 0.7882
0.9745 0.2373 0.2118
0.5292 0.2646 0.7938
0.9745 0.7372 0.2118
0.4746 0.2373 0.2118
0.4708 0.7354 0.2062
0.0000 0.5000 0.5000
```

Summary:
The total energy is -3.137 eV per atom. As for the crystal system: trigonal. The uncorrected formation energy comes out at -76.4 kJ/mol of atoms. The value obtained for the density of states at the Fermi level is 0.196 states/eV per atom.

=====

The following is a DFT calculation (PBE-GGA) of an optimized crystal structure of Cd2PbAu2.

Cell and atoms, written as POSCAR:
```
Cd2PbAu2
1.0
-6.7500 -4.7944 0.7491
1.0532 -2.7001 -7.7916
1.8244 -2.4001 1.0783
Cd Pb Au
4 2 4
direct
0.8331 0.3331 0.5000
0.6669 0.8331 0.5000
0.1669 0.6669 0.5000
0.3331 0.1669 0.5000
0.5000 0.5000 0.0000
0.0000 0.0000 0.0000
0.6290 0.1290 0.0000
0.3710 0.8710 0.0000
0.1290 0.3710 0.0000
0.8710 0.6290 0.0000
```

Summary:
The total energy is -2.537 eV per atom. As for the crystal system: tetragonal. The value obtained for the density of states at the Fermi level is 0.288 states/eV per atom. The formation energy is -0.591 eV per formula unit.

=====

The following is a DFT calculation (PBE-GGA) of an optimized crystal structure of BaHfI2O.

Cell and atoms, written as POSCAR:
```
BaHfI2O
1.0
6.1309 0.0000 0.0000
0.0000 6.1309 0.0000
0.0000 0.0000 4.0247
Ba I Hf O
1 2 1 1
direct
0.5000 0.5000 0.5000
0.5000 0.0000 0.0000
0.0000 0.5000 0.0000
0.0000 0.0000 0.0000
0.0000 0.0000 0.5000
```

Summary:
The total energy is -5.438 eV per atom. As for the crystal system: tetragonal. The uncorrected formation energy comes out at -140.0 kJ/mol of atoms. The value obtained for the density of states at the Fermi level is 0.618 states/eV per atom.

=====

The following is a DFT calculation (PBE-GGA) of an optimized crystal structure of Ce2DyY.

Cell and atoms, written as POSCAR:
```
Ce2DyY
1.0
5.6468 0.0000 0.0000
2.8234 4.8903 0.0000
2.8234 1.6301 4.6106
Y Dy Ce
1 1 2
direct
0.0000 0.0000 0.0000
0.5000 0.5000 0.5000
0.2500 0.2500 0.2500
0.7500 0.7500 0.7500
```

Summary:
The total energy is -5.501 eV per atom. As for the crystal system: cubic. The value obtained for the density of states at the Fermi level is 3.774 states/eV per atom. The formation energy is 0.932 eV per formula unit.

=====

The following is a DFT calculation (PBE-GGA) of an optimized crystal structure of K2ScPt.

Cell and atoms, written as POSCAR:
```
K2ScPt
1.0
11.9800 0.0000 0.0000
0.0000 11.9800 0.0000
5.9900 5.9900 2.4809
Pt Sc K
2 2 4
direct
0.7500 0.2500 0.5000
0.0000 0.0000 0.0000
0.2500 0.7500 0.5000
0.5000 0.5000 0.0000
0.7689 0.1250 0.2500
0.9811 0.6250 0.2500
0.8750 0.0189 0.7500
0.3750 0.2311 0.7500
```

Summary:
The total energy is -3.486 eV per atom. As for the crystal system: tetragonal. The value obtained for the density of states at the Fermi level is 1.246 states/eV per atom. The formation energy is 0.622 eV per formula unit.

=====

The following is a DFT calculation (PBE-GGA) of an optimized crystal structure of KC3O.

Cell and atoms, written as POSCAR:
```
KC3O
1.0
5.5956 0.0000 0.0000
0.0000 5.5956 0.0000
0.0000 0.0000 5.5956
C O K
3 1 1
direct
0.0000 0.5000 0.0000
0.5000 0.0000 0.0000
0.0000 0.0000 0.5000
0.5000 0.5000 0.5000
0.0000 0.0000 0.0000
```

Summary:
The total energy is -2.217 eV per atom. As for the crystal system: cubic. The uncorrected formation energy comes out at 436.9 kJ/mol of atoms. The value obtained for the density of states at the Fermi level is 2.417 states/eV per atom.

=====

The following is a DFT calculation (PBE-GGA) of an optimized crystal structure of YErMgAl.

Cell and atoms, written as POSCAR:
```
YErMgAl
1.0
5.1804 0.0000 0.0000
2.5902 4.4863 0.0000
2.5902 1.4954 4.2298
Al Mg Er Y
1 1 1 1
direct
0.5000 0.5000 0.5000
0.0000 0.0000 0.0000
0.2500 0.2500 0.2500
0.7500 0.7500 0.7500
```

Summary:
The total energy is -4.373 eV per atom. As for the crystal system: cubic. The value obtained for the density of states at the Fermi level is 0.576 states/eV per atom. The formation energy is -1.130 eV per formula unit.